Computed, not measured: crystalline TbPuNi at its relaxed geometry at the PBE-GGA level of DFT.

POSCAR file:
```
TbPuNi
1.0
-1.695 1.695 6.006
1.695 -1.695 6.006
1.695 1.695 -6.006
Tb Pu Ni
1 1 1
direct
0.000 0.000 0.000
0.272 0.272 0.000
0.631 0.631 0.000
```

Output
Distance to the lowest polymorph of the same formula, eV per atom: 0.000
Formation enthalpy at 0 K, eV/atom: -0.063
Size of the total moment, μB per cell: 6.18
Density of states at the Fermi level, states/eV per cell: 9.1


Computed, not measured: crystalline Nd2Ho3Th at its relaxed geometry at the PBE-GGA level of DFT.

POSCAR file:
```
Nd2Ho3Th
1.0
5.680 -2.537 0.000
5.680 2.537 0.000
-4.554 0.000 13.607
Nd Ho Th
4 6 2
direct
0.002 0.002 0.373
0.003 0.003 0.128
0.997 0.997 0.872
0.998 0.998 0.627
0.329 0.329 0.457
0.332 0.332 0.209
0.333 0.333 0.957
0.667 0.667 0.043
0.668 0.668 0.791
0.671 0.671 0.543
0.331 0.331 0.709
0.669 0.669 0.291
```

Output
Distance to the lowest polymorph of the same formula, eV per atom: 0.000
Formation enthalpy at 0 K, eV/atom: 0.041
Size of the total moment, μB per cell: 0.00
Density of states at the Fermi level, states/eV per cell: 16.8


Computed, not measured: crystalline P2PtCl2 at its relaxed geometry at the PBE-GGA level of DFT.

POSCAR file:
```
P2PtCl2
1.0
-1.761 1.761 9.858
1.761 -1.761 9.858
1.761 1.761 -9.858
P Pt Cl
2 1 2
direct
0.053 0.053 0.000
0.947 0.947 0.000
0.500 0.500 0.000
0.250 0.750 0.500
0.750 0.250 0.500
```

Output
Distance to the lowest polymorph of the same formula, eV per atom: 0.543
Size of the total moment, μB per cell: 0.00
Density of states at the Fermi level, states/eV per cell: 2.4


Which of these has the highest distance to the lowest polymorph of the same formula?
P2PtCl2


density of states at the Fermi level of number 1 (TbPuNi)?
9.1 states/eV per cell


Among the records above, which one has the lowest density of states at the Fermi level?
P2PtCl2